Material: BaZnOs2
Method: DFT, PBE
State: optimized geometry

POSCAR file:
```
BaZnOs2
1.0
3.3241 0.0000 0.0000
0.0000 3.3241 0.0000
0.0000 0.0000 7.4841
Ba Zn Os
1 1 2
Cartesian
0.0000 0.0000 0.0000
0.0000 0.0000 3.7421
1.6620 1.6620 2.5430
1.6620 1.6620 4.9411
```

Properties
The energy is -5.495 eV/atom. As for the space group: P4/mmm, No. 123. The value obtained for the density of states at the Fermi level is 4.51 states/eV per cell. For the formation energy from the elements, the calculation gives 21.20 kcal/mol of atoms. The calculation puts the total magnetization at 0.0 Bohr magnetons per cell.

=====

Material: Ba2ZnOs2
Method: DFT, PBE
State: optimized geometry

POSCAR file:
```
Ba2ZnOs2
1.0
-1.8100 1.8100 10.5199
1.8100 -1.8100 10.5199
1.8100 1.8100 -10.5199
Ba Zn Os
2 1 2
Cartesian
0.0000 0.0000 2.4047
0.0000 0.0000 18.6350
0.0000 0.0000 10.5199
1.8100 0.0000 5.2599
0.0000 1.8100 5.2599
```

Properties
The energy is -5.020 eV/atom. As for the space group: I4/mmm, No. 139. The value obtained for the density of states at the Fermi level is 6.19 states/eV per cell. For the formation energy from the elements, the calculation gives 11.42 kcal/mol of atoms. The calculation puts the total magnetization at 0.0 Bohr magnetons per cell.

=====

Material: BaZn2Os
Method: DFT, PBE
State: optimized geometry

POSCAR file:
```
BaZn2Os
1.0
3.3114 0.0000 0.0000
0.0000 3.3504 0.0000
0.0000 0.0000 7.4262
Ba Zn Os
1 2 1
Cartesian
0.0000 0.0000 0.0000
1.6557 1.6752 2.4701
1.6557 1.6752 4.9561
0.0000 0.0000 3.7131
```

Properties
The energy is -3.580 eV/atom. As for the space group: Pmmm, No. 47. The value obtained for the density of states at the Fermi level is 3.73 states/eV per cell. For the formation energy from the elements, the calculation gives 7.96 kcal/mol of atoms. The calculation puts the total magnetization at 0.0 Bohr magnetons per cell.

=====

Material: Ba2ZnOs
Method: DFT, PBE
State: optimized geometry

POSCAR file:
```
Ba2ZnOs
1.0
2.2323 1.2888 8.4744
-2.2323 1.2888 8.4744
0.0000 -2.5776 8.4744
Ba Zn Os
2 1 1
Cartesian
0.0000 0.0000 0.0000
0.0000 0.0000 4.1838
0.0000 0.0000 19.0415
0.0000 0.0000 10.5667
```

Properties
The energy is -3.921 eV/atom. As for the space group: R3m, No. 160. The value obtained for the density of states at the Fermi level is 1.63 states/eV per cell. For the formation energy from the elements, the calculation gives 3.83 kcal/mol of atoms. The calculation puts the total magnetization at 0.0 Bohr magnetons per cell.

=====

Material: BaZnOs2
Method: DFT, PBE
State: optimized geometry

POSCAR file:
```
BaZnOs2
1.0
2.1870 1.2627 5.8383
-2.1870 1.2627 5.8383
0.0000 -2.5253 5.8383
Ba Zn Os
1 1 2
Cartesian
0.0000 0.0000 0.0000
0.0000 0.0000 14.2321
0.0000 0.0000 3.3039
0.0000 0.0000 9.0352
```

Properties
The energy is -6.294 eV/atom. As for the space group: R3m, No. 160. The value obtained for the density of states at the Fermi level is 2.40 states/eV per cell. For the formation energy from the elements, the calculation gives 2.76 kcal/mol of atoms. The calculation puts the total magnetization at 0.0 Bohr magnetons per cell.

=====

Material: BaZnOs2
Method: DFT, PBE
State: optimized geometry

POSCAR file:
```
BaZnOs2
1.0
-1.4866 2.7463 5.2613
1.4866 -2.7463 5.2613
1.4866 2.7463 -5.2613
Ba Zn Os
1 1 2
Cartesian
0.0000 0.0000 0.0000
0.0000 2.7463 2.0695
1.4866 0.0000 3.0740
0.0000 0.0000 5.0790
```

Properties
The energy is -5.467 eV/atom. As for the space group: Imm2, No. 44. The value obtained for the density of states at the Fermi level is 4.29 states/eV per cell. For the formation energy from the elements, the calculation gives 21.84 kcal/mol of atoms. The calculation puts the total magnetization at 0.0 Bohr magnetons per cell.

=====

Material: BaZn2Os
Method: DFT, PBE
State: optimized geometry

POSCAR file:
```
BaZn2Os
1.0
3.7197 0.0000 0.0000
0.0000 4.7783 0.0000
0.0000 0.0000 4.9016
Ba Zn Os
1 2 1
Cartesian
0.0000 0.0000 0.0000
0.0000 2.3891 2.4508
1.8598 2.3891 0.0000
1.8598 0.0000 2.4508
```

Properties
The energy is -3.051 eV/atom. As for the space group: Pmmm, No. 47. The value obtained for the density of states at the Fermi level is 3.79 states/eV per cell. For the formation energy from the elements, the calculation gives 20.15 kcal/mol of atoms. The calculation puts the total magnetization at 0.3 Bohr magnetons per cell.

=====

Material: BaZn2Os
Method: DFT, PBE
State: optimized geometry

POSCAR file:
```
BaZn2Os
1.0
-2.4739 2.4739 3.5096
2.4739 -2.4739 3.5096
2.4739 2.4739 -3.5096
Ba Zn Os
1 2 1
Cartesian
0.0000 0.0000 0.0000
0.0000 0.0000 3.5096
0.0000 2.4739 1.7548
2.4739 0.0000 1.7548
```

Properties
The energy is -3.139 eV/atom. As for the space group: I-4m2, No. 119. The value obtained for the density of states at the Fermi level is 0.76 states/eV per cell. For the formation energy from the elements, the calculation gives 18.12 kcal/mol of atoms. The calculation puts the total magnetization at 0.0 Bohr magnetons per cell.

=====

Material: Ba2ZnOs
Method: DFT, PBE
State: optimized geometry

POSCAR file:
```
Ba2ZnOs
1.0
3.7846 0.0000 0.0000
0.0000 3.7846 0.0000
0.0000 0.0000 8.4507
Ba Zn Os
2 1 1
Cartesian
0.0000 0.0000 1.8340
0.0000 0.0000 6.6168
1.8923 1.8923 4.2254
1.8923 1.8923 0.0000
```

Properties
The energy is -3.563 eV/atom. As for the space group: P4/mmm, No. 123. The value obtained for the density of states at the Fermi level is 2.18 states/eV per cell. For the formation energy from the elements, the calculation gives 12.09 kcal/mol of atoms. The calculation puts the total magnetization at 0.0 Bohr magnetons per cell.

=====

Material: BaZn2Os
Method: DFT, PBE
State: optimized geometry

POSCAR file:
```
BaZn2Os
1.0
4.5419 0.0000 0.0000
0.0000 4.5419 0.0000
0.0000 0.0000 4.2454
Ba Zn Os
1 2 1
Cartesian
0.0000 0.0000 0.0000
0.0000 2.2709 2.1227
2.2709 0.0000 2.1227
2.2709 2.2709 0.0000
```

Properties
The energy is -3.080 eV/atom. As for the space group: P4/mmm, No. 123. The value obtained for the density of states at the Fermi level is 2.75 states/eV per cell. For the formation energy from the elements, the calculation gives 19.48 kcal/mol of atoms. The calculation puts the total magnetization at 0.7 Bohr magnetons per cell.

=====

Material: BaZnOs2
Method: DFT, PBE
State: optimized geometry

POSCAR file:
```
BaZnOs2
1.0
1.5608 -2.4529 0.0000
1.5608 2.4529 0.0000
0.0000 0.0000 9.7030
Ba Zn Os
1 1 2
Cartesian
0.0000 0.0000 0.0000
0.0000 0.0000 4.8515
1.5608 0.0000 2.7911
1.5608 0.0000 6.9118
```

Properties
The energy is -5.293 eV/atom. As for the space group: Cmmm, No. 65. The value obtained for the density of states at the Fermi level is 4.06 states/eV per cell. For the formation energy from the elements, the calculation gives 25.84 kcal/mol of atoms. The calculation puts the total magnetization at 0.0 Bohr magnetons per cell.

=====

Material: BaZn2Os
Method: DFT, PBE
State: optimized geometry

POSCAR file:
```
BaZn2Os
1.0
-1.7832 2.7514 4.7699
1.7832 -2.7514 4.7699
1.7832 2.7514 -4.7699
Ba Zn Os
1 2 1
Cartesian
0.0000 0.0000 0.0000
1.7832 0.0000 2.9497
0.0000 2.7514 1.8202
0.0000 0.0000 4.7699
```

Properties
The energy is -3.454 eV/atom. As for the space group: Immm, No. 71. The value obtained for the density of states at the Fermi level is 1.16 states/eV per cell. For the formation energy from the elements, the calculation gives 10.87 kcal/mol of atoms. The calculation puts the total magnetization at 0.0 Bohr magnetons per cell.

=====

Material: BaZnOs3
Method: DFT, PBE
State: optimized geometry

POSCAR file:
```
BaZnOs3
1.0
4.7326 0.0000 0.0000
0.0000 4.7326 0.0000
0.0000 0.0000 4.7326
Ba Zn Os
1 1 3
Cartesian
0.0000 0.0000 0.0000
2.3663 2.3663 2.3663
0.0000 2.3663 2.3663
2.3663 0.0000 2.3663
2.3663 2.3663 0.0000
```

Properties
The energy is -5.598 eV/atom. As for the space group: Pm-3m, No. 221. The energy above the most stable polymorph in this dataset comes out at 0 meV/atom. The value obtained for the density of states at the Fermi level is 7.53 states/eV per cell. For the formation energy from the elements, the calculation gives 41.02 kcal/mol of atoms. The calculation puts the total magnetization at 2.1 Bohr magnetons per cell.

=====

Material: Ba2ZnOs
Method: DFT, PBE
State: optimized geometry

POSCAR file:
```
Ba2ZnOs
1.0
-2.2360 2.2959 7.2232
2.2360 -2.2959 7.2232
2.2360 2.2959 -7.2232
Ba Zn Os
2 1 1
Cartesian
0.0000 0.0000 0.0000
0.0000 2.2959 3.7035
0.0000 0.0000 6.1250
2.2360 0.0000 5.0995
```

Properties
The energy is -3.724 eV/atom. As for the space group: Imm2, No. 44. The value obtained for the density of states at the Fermi level is 2.40 states/eV per cell. For the formation energy from the elements, the calculation gives 8.38 kcal/mol of atoms. The calculation puts the total magnetization at 0.0 Bohr magnetons per cell.

=====

Material: BaZr2Os
Method: DFT, PBE
State: optimized geometry

POSCAR file:
```
BaZr2Os
1.0
0.0000 3.5950 3.5950
3.5950 0.0000 3.5950
3.5950 3.5950 0.0000
Ba Zr Os
1 2 1
Cartesian
0.0000 0.0000 0.0000
3.5950 3.5950 3.5950
5.3925 5.3925 5.3925
1.7975 1.7975 1.7975
```

Properties
The energy is -6.782 eV/atom. As for the space group: F-43m, No. 216. The energy above the most stable polymorph in this dataset comes out at 680 meV/atom. The value obtained for the density of states at the Fermi level is 5.92 states/eV per cell. For the formation energy from the elements, the calculation gives 17.99 kcal/mol of atoms. The calculation puts the total magnetization at 1.6 Bohr magnetons per cell.